[1]
ThNiPd | PBE | relaxed

a = 3.6777 Å, b = 16.6688 Å, c = 3.8546 Å
α = 90.00°, β = 90.00°, γ = 90.00°
Last column: nearest neighbours and their distance in Å.
Space group Cmcm (No. 63)
Unique sites:
Th1 0.0000 0.1119 0.2500  6 Ni 2.89-3.19, 5 Pd 3.05-3.09
Ni1 0.0000 0.4556 0.2500  2 Ni 2.43, 1 Pd 2.68
Pd1 0.0000 0.2946 0.2500  1 Ni 2.68

Output
Fermi-level density of states ... 2.02 states/eV/f.u.
ΔH_f (0 K) ... -0.617 eV per atom
Calculated volume ... 236 Å³/cell
M_tot ... 0.0 μB/cell
Energy ... -6.749 eV/atom
Crystal system ... orthorhombic

---

[2]
ThNi2Pd | PBE | relaxed

a = 4.3364 Å, b = 4.3364 Å, c = 13.1701 Å
α = 90.00°, β = 90.00°, γ = 120.00°
Last column: nearest neighbours and their distance in Å.
Space group R-3m (No. 166, hexagonal axes)
Unique sites:
Th1 0.0000 0.0000 0.0000  2 Ni 2.66
Ni1 0.0000 0.0000 0.2020  3 Pd 2.55, 1 Th 2.66, 3 Ni 2.67
Pd1 0.0000 0.0000 0.5000  6 Ni 2.55

Output
Fermi-level density of states ... 2.05 states/eV/f.u.
ΔH_f (0 K) ... -0.461 eV per atom
Calculated volume ... 214 Å³/cell
M_tot ... 0.0 μB/cell
Energy ... -6.504 eV/atom
Crystal system ... trigonal

---

What is the Fermi-level density of states in the second record?
2.05 states/eV/f.u.

---

What is the ΔH_f (0 K) in the second record?
-0.461 eV per atom